AcNiSn after structural relaxation, computed with GGA-PBE.

abc: 4.5551 4.5554 7.2607
angles: 90.02 90.01 90.00
Last column: nearest neighbours and their distance in Å.
Positions (direct):
Ac 0.8134 0.8661 0.5649  5 Ni 3.23-3.41, 4 Sn 3.44
Ac 0.3135 0.3661 0.2743  5 Ni 3.23-3.41, 4 Sn 3.44
Ni 0.8140 0.8673 0.1205  4 Sn 2.70-2.71
Ni 0.3135 0.3664 0.7187  4 Sn 2.70-2.71
Sn 0.8135 0.3666 0.9196  4 Ni 2.70-2.71
Sn 0.3137 0.8663 0.9196  4 Ni 2.70-2.71

Results
SG = Cm (8)


La2ZnHgP after structural relaxation, computed with GGA-PBE.

abc: 5.9315 4.8664 5.9315
angles: 90.00 90.00 90.00
Last column: nearest neighbours and their distance in Å.
Positions (direct):
P 0.0000 0.5000 0.0000  2 Hg 2.43
Zn 0.5000 0.5000 0.5000  8 La 3.84, 4 P 4.19
Hg 0.0000 0.0000 0.0000  2 P 2.43
La 0.0000 0.0000 0.5000  2 Hg 2.97
La 0.5000 0.0000 0.0000  2 Hg 2.97

Results
SG = P4/mmm (123)


TcPbSe2 after structural relaxation, computed with GGA-PBE.

abc: 9.4505 9.4505 9.4505
angles: 21.57 21.57 21.57
Last column: nearest neighbours and their distance in Å.
Positions (direct):
Pb 0.0000 0.0000 0.0000  2 Se 3.09
Tc 0.5000 0.5000 0.5000  6 Se 2.55
Se 0.8884 0.8884 0.8884  3 Tc 2.55
Se 0.1116 0.1116 0.1116  3 Tc 2.55

Results
SG = R-3m (166)
E_form (uncorrected) = -0.1600 eV per atom


AgMoBrCl6 after structural relaxation, computed with GGA-PBE.

abc: 8.1286 7.9250 6.8032
angles: 108.14 92.08 48.04
Last column: nearest neighbours and their distance in Å.
Positions (direct):
Ag 0.6771 0.5847 0.3926  2 Cl 2.47-2.75, 1 Br 2.49
Mo 0.3441 0.3279 0.4884  6 Cl 2.28-2.46
Br 0.9520 0.1462 0.1410  1 Ag 2.49
Cl 0.3035 0.2051 0.1552  1 Mo 2.28
Cl 0.3546 0.0366 0.5634  1 Mo 2.46, 1 Ag 2.47
Cl 0.3922 0.4391 0.8263  1 Mo 2.31
Cl 0.9489 0.5990 0.6338  1 Mo 2.37
Cl 0.2973 0.6294 0.4367  1 Mo 2.30
Cl 0.7302 0.0322 0.3624  1 Mo 2.28

Results
SG = P1 (1)
E_form (uncorrected) = -0.6016 eV per atom


TbTlP after structural relaxation, computed with GGA-PBE.

abc: 3.9065 3.9065 6.4929
angles: 107.51 107.51 90.00
Last column: nearest neighbours and their distance in Å.
Positions (direct):
P 0.7555 0.7555 0.5110  1 Tl 2.73, 4 Tb 2.76
Tl 0.9881 0.9881 0.9763  1 P 2.73
Tb 0.2564 0.2564 0.5127  4 P 2.76

Results
SG = I4mm (107)


K2LiFe after structural relaxation, computed with GGA-PBE.

abc: 5.7751 5.7751 5.7751
angles: 119.99 119.99 90.01
Last column: nearest neighbours and their distance in Å.
Positions (direct):
Fe 0.7500 0.2500 0.5000  4 K 3.54, 4 Li 3.54
K 0.0000 0.0000 0.0000  4 Fe 3.54, 4 K 3.54
K 0.2500 0.7500 0.5000  4 K 3.54, 4 Li 3.54
Li 0.5000 0.5000 0.0000  4 K 3.54, 4 Fe 3.54

Results
SG = F-43m (216)


MnFe2W after structural relaxation, computed with GGA-PBE.

abc: 2.9772 2.9772 5.6938
angles: 90.00 90.00 90.00
Last column: nearest neighbours and their distance in Å.
Positions (direct):
Mn 0.0000 0.0000 0.4953  5 Fe 2.54-2.76, 4 W 2.55
Fe 0.0000 0.0000 0.0110  4 Fe 2.50, 4 W 2.59, 1 Mn 2.76
Fe 0.5000 0.5000 0.2466  4 Fe 2.50, 4 Mn 2.54
W 0.5000 0.5000 0.7471  4 Mn 2.55, 6 Fe 2.59-2.85

Results
SG = P4mm (99)


Nd5Ho4Tl4 after structural relaxation, computed with GGA-PBE.

abc: 5.0676 9.2925 9.2925
angles: 85.74 74.18 74.18
Last column: nearest neighbours and their distance in Å.
Positions (direct):
Nd 0.6934 0.9125 0.7008  5 Tl 3.29-3.63, 2 Ho 3.64
Nd 0.3066 0.0875 0.2992  5 Tl 3.29-3.63, 2 Ho 3.64
Nd 0.0000 0.0000 0.0000  4 Tl 3.25
Nd 0.6058 0.7008 0.0875  5 Tl 3.29-3.63, 2 Ho 3.64
Nd 0.3942 0.2992 0.9125  5 Tl 3.29-3.63, 2 Ho 3.64
Ho 0.9062 0.4936 0.6940  3 Tl 3.14-3.30, 1 Ho 3.47
Ho 0.6002 0.3060 0.4936  3 Tl 3.14-3.30, 1 Ho 3.47
Ho 0.0938 0.5064 0.3060  3 Tl 3.14-3.30, 1 Ho 3.47
Ho 0.3998 0.6940 0.5064  3 Tl 3.14-3.30, 1 Ho 3.47
Tl 0.7610 0.3342 0.1439  3 Ho 3.14-3.30, 4 Nd 3.25-3.32
Tl 0.2390 0.6658 0.8561  3 Ho 3.14-3.30, 4 Nd 3.25-3.32
Tl 0.9048 0.8561 0.3342  3 Ho 3.14-3.30, 4 Nd 3.25-3.32
Tl 0.0952 0.1439 0.6658  3 Ho 3.14-3.30, 4 Nd 3.25-3.32

Results
SG = I4/m (87)


ScPbBr2 after structural relaxation, computed with GGA-PBE.

abc: 3.5719 6.1131 4.9035
angles: 90.00 90.00 90.00
Last column: nearest neighbours and their distance in Å.
Positions (direct):
Br 0.0000 0.0000 0.0000  4 Pb 3.03
Br 0.5000 0.5000 0.0000  4 Sc 3.03
Pb 0.5000 0.0000 0.5000  4 Br 3.03
Sc 0.0000 0.5000 0.5000  4 Br 3.03

Results
SG = Pmmm (47)
E_form (uncorrected) = -0.5754 eV per atom


Ta3ZnFe after structural relaxation, computed with GGA-PBE.

abc: 4.5707 4.5707 4.5707
angles: 90.00 90.00 90.00
Last column: nearest neighbours and their distance in Å.
Positions (direct):
Zn 0.5000 0.5000 0.5000  12 Ta 3.23
Fe 0.0000 0.0000 0.0000  6 Ta 2.29
Ta 0.0000 0.5000 0.0000  2 Fe 2.29
Ta 0.0000 0.0000 0.5000  2 Fe 2.29
Ta 0.5000 0.0000 0.0000  2 Fe 2.29

Results
SG = Pm-3m (221)


CaWBr2 after structural relaxation, computed with GGA-PBE.

abc: 10.9626 10.9626 10.9626
angles: 19.39 19.39 19.39
Last column: nearest neighbours and their distance in Å.
Positions (direct):
Ca 0.2500 0.2500 0.2500  6 Br 2.82
Br 0.9737 0.9737 0.9737  3 Ca 2.82
Br 0.5263 0.5263 0.5263  3 Ca 2.82
W 0.7500 0.7500 0.7500  6 W 3.69, 6 Br 4.13

Results
SG = R-3m (166)
E_form (uncorrected) = 0.2783 eV per atom


Tl5Sb4Pb2 after structural relaxation, computed with GGA-PBE.

abc: 4.6254 7.6445 14.2635
angles: 52.43 99.33 90.00
Last column: nearest neighbours and their distance in Å.
Positions (direct):
Tl 0.7533 0.7321 0.5067  3 Sb 3.17-3.33
Tl 0.2467 0.2679 0.4933  3 Sb 3.17-3.33
Tl 0.8798 0.0504 0.7597  3 Sb 3.17-3.37
Tl 0.5000 0.0000 0.0000  6 Sb 3.48-3.57
Tl 0.1202 0.9496 0.2403  3 Sb 3.17-3.37
Sb 0.3392 0.4001 0.6784  1 Pb 3.01, 5 Tl 3.17-3.33
Sb 0.0275 0.6072 0.0549  1 Sb 2.86, 2 Pb 3.07
Sb 0.6608 0.5999 0.3216  1 Pb 3.01, 5 Tl 3.17-3.33
Sb 0.9725 0.3928 0.9451  1 Sb 2.86, 2 Pb 3.07
Pb 0.3847 0.6674 0.7695  3 Sb 3.01-3.07
Pb 0.6153 0.3326 0.2305  3 Sb 3.01-3.07

Results
SG = C2/m (12)
E_form (uncorrected) = 0.0135 eV per atom


| no. | VASP energy (eV/cell) | volume (Å³/f.u.) |
| --- | --- | --- |
| 1 | -29.85 | 75.3 |
| 2 | -15.13 | 171.2 |
| 3 | -21.68 | 100.0 |
| 4 | -31.85 | 300.4 |
| 5 | -14.27 | 89.7 |
| 6 | -9.18 | 136.2 |
| 7 | -38.77 | 50.5 |
| 8 | -54.84 | 405.1 |
| 9 | -15.69 | 107.1 |
| 10 | -41.61 | 95.5 |
| 11 | -17.19 | 126.9 |
| 12 | -35.59 | 391.3 |